Version i
A plane-wave DFT calculation with PBE-GGA was carried out for crystalline KLiIn at its relaxed geometry.

a b c (Å): 8.279 4.806 11.889
angles (deg): 90.00 103.81 90.00
Space group Cm (No. 8)
Inequivalent atoms, fractional coordinates:
K (0.000, 0.000, 0.000) [2 per cell]
K (0.223, 0.000, 0.658) [2 per cell]
Li (0.315, 0.500, 0.439) [2 per cell]
Li (0.436, 0.000, 0.302) [2 per cell]
In (0.112, 0.000, 0.332) [2 per cell]
In (0.234, 0.500, 0.200) [2 per cell]

=====

Version ii
A plane-wave DFT calculation with PBE-GGA was carried out for crystalline KLiIn at its relaxed geometry.

a b c (Å): 5.6861 5.6861 3.2114
angles (deg): 90.00 90.00 120.00
Space group P3m1 (No. 156)
Inequivalent atoms, fractional coordinates:
K (0.0000, 0.0000, 0.0000) [1 per cell]
Li (0.6667, 0.3333, 0.2852) [1 per cell]
In (0.3333, 0.6667, 0.5405) [1 per cell]

=====

Stability ranking, top and bottom: version i is the most stable and version ii is the least stable.

=====

Version i
A plane-wave DFT calculation with PBE-GGA was carried out for crystalline KLiIn2Pt at its relaxed geometry.

a b c (Å): 5.935 5.935 5.394
angles (deg): 90.00 90.00 90.00
Space group P4/mmm (No. 123)
Inequivalent atoms, fractional coordinates:
K (0.000, 0.000, 0.000) [1 per cell]
Li (0.500, 0.500, 0.500) [1 per cell]
In (0.000, 0.500, 0.000) [2 per cell]
Pt (0.000, 0.000, 0.500) [1 per cell]

=====

Version ii
A plane-wave DFT calculation with PBE-GGA was carried out for crystalline KLiIn2Pt at its relaxed geometry.

a b c (Å): 5.201 5.201 5.227
angles (deg): 90.00 90.00 90.00
Space group P4/mmm (No. 123)
Inequivalent atoms, fractional coordinates:
K (0.000, 0.000, 0.000) [1 per cell]
Li (0.500, 0.500, 0.000) [1 per cell]
In (0.000, 0.500, 0.500) [2 per cell]
Pt (0.500, 0.500, 0.500) [1 per cell]

=====

Stability ranking, top and bottom: version ii is the most stable and version i is the least stable.

=====

Version i
A plane-wave DFT calculation with PBE-GGA was carried out for crystalline KLuIn2 at its relaxed geometry.

a b c (Å): 3.782 3.782 8.578
angles (deg): 90.00 90.00 90.00
Space group P4/mmm (No. 123)
Inequivalent atoms, fractional coordinates:
K (0.000, 0.000, 0.000) [1 per cell]
Lu (0.000, 0.000, 0.500) [1 per cell]
In (0.500, 0.500, 0.299) [2 per cell]

=====

Version ii
A plane-wave DFT calculation with PBE-GGA was carried out for crystalline KLuIn2 at its relaxed geometry.

a b c (Å): 3.5972 3.5972 32.9368
angles (deg): 90.00 90.00 120.00
Space group R-3m (No. 166, hexagonal axes)
Inequivalent atoms, fractional coordinates:
K (0.0000, 0.0000, 0.0000) [3 per cell]
Lu (0.0000, 0.0000, 0.5000) [3 per cell]
In (0.0000, 0.0000, 0.2420) [6 per cell]

=====

Stability ranking, top and bottom: version i is the most stable and version ii is the least stable.

=====

Version i
A plane-wave DFT calculation with PBE-GGA was carried out for crystalline KMg2In6 at its relaxed geometry.

a b c (Å): 13.562 13.562 13.562
angles (deg): 90.00 90.00 90.00
Space group Fd-3m (No. 227, origin choice 2)
Inequivalent atoms, fractional coordinates:
K (0.125, 0.125, 0.125) [8 per cell]
Mg (0.000, 0.000, 0.500) [16 per cell]
In (0.125, 0.125, 0.375) [48 per cell]

=====

Version ii
A plane-wave DFT calculation with PBE-GGA was carried out for crystalline KMg2In6 at its relaxed geometry.

a b c (Å): 4.087 8.652 14.366
angles (deg): 90.00 90.00 90.00
Space group Immm (No. 71)
Inequivalent atoms, fractional coordinates:
K (0.000, 0.000, 0.000) [2 per cell]
Mg (0.000, 0.500, 0.126) [4 per cell]
In (0.000, 0.170, 0.500) [4 per cell]
In (0.000, 0.323, 0.314) [8 per cell]

=====

Stability ranking, top and bottom: version ii is the most stable and version i is the least stable.

=====

Version i
A plane-wave DFT calculation with PBE-GGA was carried out for crystalline KMgIn3 at its relaxed geometry.

a b c (Å): 5.610 5.610 5.610
angles (deg): 90.00 90.00 90.00
Space group Pm-3m (No. 221)
Inequivalent atoms, fractional coordinates:
K (0.000, 0.000, 0.000) [1 per cell]
Mg (0.500, 0.500, 0.500) [1 per cell]
In (0.000, 0.500, 0.500) [3 per cell]

=====

Version ii
A plane-wave DFT calculation with PBE-GGA was carried out for crystalline KMgIn3 at its relaxed geometry.

a b c (Å): 7.4863 7.4863 6.3560
angles (deg): 90.00 90.00 120.00
Space group P6_3/mmc (No. 194)
Inequivalent atoms, fractional coordinates:
K (0.3333, 0.6667, 0.2500) [2 per cell]
Mg (0.0000, 0.0000, 0.0000) [2 per cell]
In (0.1949, 0.3899, 0.7500) [6 per cell]

=====

Version iii
A plane-wave DFT calculation with PBE-GGA was carried out for crystalline KMgIn3 at its relaxed geometry.

a b c (Å): 6.032 6.032 6.032
angles (deg): 90.00 90.00 90.00
Space group Pm-3m (No. 221)
Inequivalent atoms, fractional coordinates:
K (0.000, 0.000, 0.000) [1 per cell]
Mg (0.500, 0.500, 0.500) [1 per cell]
In (0.000, 0.000, 0.500) [3 per cell]

=====

Stability ranking, top and bottom: version ii is the most stable and version iii is the least stable.

=====

Version i
A plane-wave DFT calculation with PBE-GGA was carried out for crystalline KMg3In at its relaxed geometry.

a b c (Å): 5.589 5.589 5.589
angles (deg): 90.00 90.00 90.00
Space group Pm-3m (No. 221)
Inequivalent atoms, fractional coordinates:
K (0.000, 0.000, 0.000) [1 per cell]
Mg (0.000, 0.500, 0.500) [3 per cell]
In (0.500, 0.500, 0.500) [1 per cell]

=====

Version ii
A plane-wave DFT calculation with PBE-GGA was carried out for crystalline KMg3In at its relaxed geometry.

a b c (Å): 6.127 6.127 6.127
angles (deg): 90.00 90.00 90.00
Space group Pm-3m (No. 221)
Inequivalent atoms, fractional coordinates:
K (0.000, 0.000, 0.000) [1 per cell]
Mg (0.000, 0.000, 0.500) [3 per cell]
In (0.500, 0.500, 0.500) [1 per cell]

=====

Stability ranking, top and bottom: version i is the most stable and version ii is the least stable.